Record 1
Here is a relaxed structure of K6Se2O from Alexandria. Energies are from PBE.

Unit cell a=7.4652 b=7.4652 c=5.5772 alpha=90.00 beta=90.00 gamma=120.00
Closest atoms and distances in Å follow each position.
Fractional coordinates of all 9 atoms:
K1 0.1750 0.3501 0.2708  1 O 2.60
K2 0.1750 0.8250 0.2708  1 O 2.60
K3 0.3501 0.1750 0.7292  1 O 2.60
K4 0.6499 0.8250 0.2708  1 O 2.60
K5 0.8250 0.1750 0.7292  1 O 2.60
K6 0.8250 0.6499 0.7292  1 O 2.60
Se1 0.3333 0.6667 0.7617  12 K 3.42-3.74
Se2 0.6667 0.3333 0.2383  12 K 3.42-3.74
O1 0.0000 0.0000 0.5000  6 K 2.60

Summary:
formation energy from raw total energies: -1.0564 eV per atom
space group: P-3m1, No. 164
ΔE to the lowest computed polymorph: 0.0 meV per atom

Record 2
Here is a relaxed structure of KSeO3 from Alexandria. Energies are from PBE.

Unit cell a=6.3050 b=10.7671 c=5.6904 alpha=90.00 beta=90.00 gamma=90.00
Closest atoms and distances in Å follow each position.
Fractional coordinates of all 20 atoms:
K1 0.0000 0.0000 0.0000  4 O 2.74-2.79
K2 0.0000 0.5000 0.0000  4 O 2.74-2.79
K3 0.5000 0.0000 0.5000  4 O 2.74-2.79
K4 0.5000 0.5000 0.5000  4 O 2.74-2.79
Se1 0.0541 0.2500 0.4447  3 O 1.68-1.73
Se2 0.4459 0.7500 0.9447  3 O 1.68-1.73
Se3 0.5541 0.2500 0.0553  3 O 1.68-1.73
Se4 0.9459 0.7500 0.5553  3 O 1.68-1.73
O1 0.1265 0.1214 0.5899  1 Se 1.68
O2 0.1265 0.3786 0.5899  1 Se 1.68
O3 0.1763 0.2500 0.1729  1 Se 1.73
O4 0.3237 0.7500 0.6729  1 Se 1.73
O5 0.3735 0.6214 0.0899  1 Se 1.68
O6 0.3735 0.8786 0.0899  1 Se 1.68
O7 0.6265 0.1214 0.9101  1 Se 1.68
O8 0.6265 0.3786 0.9101  1 Se 1.68
O9 0.6763 0.2500 0.3271  1 Se 1.73
O10 0.8237 0.7500 0.8271  1 Se 1.73
O11 0.8735 0.6214 0.4101  1 Se 1.68
O12 0.8735 0.8786 0.4101  1 Se 1.68

Summary:
formation energy from raw total energies: -1.0569 eV per atom
space group: Pnma, No. 62